# CeMnZn

A relaxed structure of CeMnZn (PBE, Alexandria via LeMat-Bulk).

Structure (CIF):
```
data_CeMnZn
_chemical_formula_sum 'Ce1 Mn1 Zn1'
_symmetry_space_group_name_H-M 'P 1'
_symmetry_Int_Tables_number 1
_symmetry_space_group_name_Hall 'P 1'
_cell_length_a 3.067
_cell_length_b 3.067
_cell_length_c 6.335
_cell_angle_alpha 104.01
_cell_angle_beta 104.01
_cell_angle_gamma 90.00
loop_
_atom_site_label
_atom_site_type_symbol
_atom_site_fract_x
_atom_site_fract_y
_atom_site_fract_z
Mn1 Mn 0.931 0.931 0.863
Ce1 Ce 0.609 0.609 0.218
Zn1 Zn 0.310 0.310 0.619
```

Computed properties:
Total DFT energy (no corrections) in eV/cell: -16.3